Entry 1:
DFT (PBE-GGA) results for MgGaPd2 after structural relaxation.

Cell and atoms, written as POSCAR:
```
MgGaPd2
1.0
0.000 3.164 3.164
3.164 0.000 3.164
3.164 3.164 0.000
Ga Mg Pd
1 1 2
direct
0.500 0.500 0.500
0.250 0.250 0.250
0.000 0.000 0.000
0.750 0.750 0.750
```

Summary:
Total energy ... -0.310 Ry/atom
Crystal system ... cubic

Entry 2:
DFT (PBE-GGA) results for InAgPbS3 after structural relaxation.

Cell and atoms, written as POSCAR:
```
InAgPbS3
1.0
-0.781 4.964 4.735
-4.235 3.841 3.870
0.463 -7.699 8.146
Ag In Pb S
2 2 2 6
direct
0.486 0.486 0.250
0.514 0.514 0.750
0.771 0.771 0.250
0.229 0.229 0.750
0.000 0.000 0.000
0.000 0.000 0.500
0.345 0.345 0.092
0.122 0.122 0.250
0.345 0.345 0.408
0.655 0.655 0.592
0.878 0.878 0.750
0.655 0.655 0.908
```

Summary:
Total energy ... -0.282 Ry/atom
Excess energy over the best structure of this formula in the dataset ... 160 meV per atom
Crystal system ... orthorhombic

Entry 3:
DFT (PBE-GGA) results for HoErPO after structural relaxation.

Cell and atoms, written as POSCAR:
```
HoErPO
1.0
-3.257 1.519 2.322
2.040 -1.116 3.592
3.724 7.605 0.247
Er Ho O P
2 2 2 2
direct
0.750 0.250 0.500
0.250 0.750 0.500
0.250 0.250 0.103
0.750 0.750 0.897
0.750 0.250 0.000
0.250 0.750 0.000
0.750 0.750 0.304
0.250 0.250 0.696
```

Summary:
Total energy ... -0.500 Ry/atom
Excess energy over the best structure of this formula in the dataset ... 96 meV per atom
Crystal system ... tetragonal

Entry 4:
DFT (PBE-GGA) results for ErNpSn after structural relaxation.

Cell and atoms, written as POSCAR:
```
ErNpSn
1.0
2.979 -3.617 2.161
0.811 0.031 5.095
-2.116 -3.649 2.972
Er Np Sn
1 1 1
direct
0.500 0.500 0.500
0.000 0.000 0.000
0.250 0.250 0.250
```

Summary:
Total energy ... -0.511 Ry/atom
Excess energy over the best structure of this formula in the dataset ... 0 meV per atom
Crystal system ... cubic